Density functional theory data (PBE-GGA) for a relaxed LiLaTh2Se4 crystal.

Cell and atoms, written as POSCAR:
```
LiLaTh2Se4
1.0
-2.851 -1.578 2.555
4.545 -5.225 1.845
0.978 5.709 4.617
Li La Th Se
1 1 2 4
Direct
0.500 0.500 0.000 Li
0.000 0.000 0.000 La
0.500 0.000 0.500 Th
0.000 0.500 0.500 Th
0.500 0.263 0.244 Se
0.500 0.737 0.756 Se
0.000 0.265 0.760 Se
0.000 0.735 0.240 Se
```

The total energy comes out at -48.6 eV per formula unit. Its space group is P2/m (10). The calculation puts the density at 7.38 g cm⁻³.


Density functional theory data (PBE-GGA) for a relaxed CaCuO2 crystal.

Cell and atoms, written as POSCAR:
```
CaCuO2
1.0
3.881 0.042 -0.108
-0.600 6.944 0.460
-1.532 -1.624 7.438
Ca Cu O
4 4 8
Direct
0.403 0.646 0.304 Ca
0.597 0.354 0.696 Ca
0.279 0.226 0.021 Ca
0.721 0.774 0.979 Ca
0.116 0.665 0.648 Cu
0.799 0.963 0.635 Cu
0.201 0.037 0.365 Cu
0.884 0.335 0.352 Cu
0.382 0.309 0.346 O
0.298 0.908 0.145 O
0.702 0.092 0.855 O
0.618 0.691 0.654 O
0.197 0.523 0.845 O
0.996 0.811 0.450 O
0.803 0.477 0.155 O
0.004 0.189 0.550 O
```

The total energy comes out at -22.8 eV per formula unit. Its space group is P-1 (2). The calculation puts the density at 4.45 g cm⁻³.


Density functional theory data (PBE-GGA) for a relaxed Tm2ThRh crystal.

Cell and atoms, written as POSCAR:
```
Tm2ThRh
1.0
3.483 0.000 0.000
1.742 3.016 0.000
1.742 1.005 10.560
Tm Rh Th
2 1 1
Direct
0.108 0.108 0.675 Tm
0.892 0.892 0.325 Tm
0.500 0.500 0.500 Rh
0.000 0.000 0.000 Th
```

The total energy comes out at -24.3 eV per formula unit. Its space group is R-3m (166). The calculation puts the density at 10.07 g cm⁻³. The energy above the most stable polymorph in this dataset is 384 meV/atom. The value obtained for the formation energy from the elements is -0.1454 eV per atom.


Density functional theory data (PBE-GGA) for a relaxed NbVMo2W crystal.

Cell and atoms, written as POSCAR:
```
NbVMo2W
1.0
4.763 0.000 0.000
0.000 4.422 0.000
0.000 0.000 4.763
Mo Nb W V
2 1 1 1
Direct
0.000 0.000 0.500 Mo
0.500 0.000 0.000 Mo
0.500 0.500 0.500 Nb
0.000 0.000 0.000 W
0.000 0.500 0.000 V
```

The total energy comes out at -45.9 eV per formula unit. Its space group is P4/mmm (123). The calculation puts the density at 8.60 g cm⁻³. The energy above the most stable polymorph in this dataset is 1659 meV/atom. The value obtained for the formation energy from the elements is 1.5728 eV per atom.


Density functional theory data (PBE-GGA) for a relaxed CsBa2Pb9 crystal.

Cell and atoms, written as POSCAR:
```
CsBa2Pb9
1.0
6.615 0.000 1.969
3.015 5.888 1.969
0.175 0.107 11.509
Cs Ba Pb
1 2 9
Direct
0.000 0.000 0.000 Cs
0.861 0.861 0.417 Ba
0.139 0.139 0.583 Ba
0.663 0.663 0.012 Pb
0.337 0.337 0.988 Pb
0.500 0.500 0.500 Pb
0.409 0.409 0.257 Pb
0.925 0.409 0.257 Pb
0.409 0.925 0.257 Pb
0.591 0.591 0.743 Pb
0.591 0.075 0.743 Pb
0.075 0.591 0.743 Pb
```

The total energy comes out at -41.4 eV per formula unit. Its space group is R-3m (166). The calculation puts the density at 8.47 g cm⁻³. The value obtained for the formation energy from the elements is -0.2734 eV per atom.


Density functional theory data (PBE-GGA) for a relaxed Mn2BiBr6 crystal.

Cell and atoms, written as POSCAR:
```
Mn2BiBr6
1.0
-1.951 1.773 -6.976
2.992 -8.558 -2.475
-7.704 -5.204 1.369
Mn Bi Br
4 2 12
Direct
0.212 0.593 0.786 Mn
0.288 0.214 0.407 Mn
0.788 0.407 0.214 Mn
0.712 0.786 0.593 Mn
0.250 0.037 0.963 Bi
0.750 0.963 0.037 Bi
0.400 0.674 0.568 Br
0.100 0.432 0.326 Br
0.600 0.326 0.432 Br
0.900 0.568 0.674 Br
0.808 0.932 0.351 Br
0.692 0.649 0.068 Br
0.192 0.068 0.649 Br
0.308 0.351 0.932 Br
0.207 0.727 0.990 Br
0.293 0.010 0.273 Br
0.793 0.273 0.010 Br
0.707 0.990 0.727 Br
```

The total energy comes out at -38.0 eV per formula unit. Its space group is C2/c (15). The calculation puts the density at 4.12 g cm⁻³.


Density functional theory data (PBE-GGA) for a relaxed SrPPdRh crystal.

Cell and atoms, written as POSCAR:
```
SrPPdRh
1.0
-3.635 -1.306 -0.663
1.147 -3.642 0.882
-2.495 1.713 10.312
Sr P Pd Rh
2 2 2 2
Direct
0.750 0.750 0.275 Sr
0.250 0.250 0.725 Sr
0.750 0.750 0.876 P
0.250 0.250 0.124 P
0.250 0.750 0.500 Pd
0.750 0.250 0.500 Pd
0.750 0.250 0.000 Rh
0.250 0.750 0.000 Rh
```

The total energy comes out at -22.6 eV per formula unit. Its space group is P4/nmm (129). The calculation puts the density at 6.60 g cm⁻³. The value obtained for the formation energy from the elements is -0.7354 eV per atom.


Density functional theory data (PBE-GGA) for a relaxed MgZrSCl2 crystal.

Cell and atoms, written as POSCAR:
```
MgZrSCl2
1.0
-1.584 -2.095 3.808
4.346 -0.721 1.411
-0.051 4.498 2.454
S Mg Zr Cl
1 1 1 2
Direct
0.000 0.000 0.500 S
0.000 0.000 0.000 Mg
0.500 0.500 0.500 Zr
0.000 0.500 0.000 Cl
0.500 0.000 0.000 Cl
```

The total energy comes out at -21.3 eV per formula unit. Its space group is P4/mmm (123). The calculation puts the density at 3.31 g cm⁻³. The energy above the most stable polymorph in this dataset is 280 meV/atom.